# 1
A plane-wave DFT calculation with PBEsol was carried out for a relaxed structure of Mg3ZnS.

Properties
Magnetic moment, μB/atom: 0.000
Crystal system: cubic
Electronic total energy, eV per atom: -2.320
E_form (uncorrected), meV per atom: -96
Symmetry: Pm-3m
D(E_F), states/eV/atom: 0.395
V, Å³ per atom: 22.02

Lattice parameters (Å, degrees): 4.793 4.793 4.793 90.00 90.00 90.00
Sites, in units of the cell vectors:
Mg  0.000  0.500  0.000
Mg  0.000  0.000  0.500
Mg  0.500  0.000  0.000
Zn  0.500  0.500  0.500
S  0.000  0.000  0.000

=====

# 2
A plane-wave DFT calculation with PBEsol was carried out for a relaxed structure of BaAsSe2F.

Properties
Magnetic moment, μB/atom: 0.000
Crystal system: tetragonal
Electronic total energy, eV per atom: -4.137
E_form (uncorrected), meV per atom: -760
Symmetry: P4/mmm
D(E_F), states/eV/atom: 0.326
V, Å³ per atom: 23.00

Lattice parameters (Å, degrees): 4.083 5.307 5.307 90.00 90.00 90.00
Sites, in units of the cell vectors:
As  0.500  0.000  0.000
Ba  0.500  0.500  0.500
Se  0.000  0.000  0.500
Se  0.000  0.500  0.000
F  0.000  0.000  0.000

=====

# 3
A plane-wave DFT calculation with PBEsol was carried out for a relaxed structure of CrCuHg3.

Properties
Magnetic moment, μB/atom: 0.881
Crystal system: cubic
Electronic total energy, eV per atom: -2.279
Symmetry: Pm-3m
Energy relative to the elements, eV per atom: 0.9763
D(E_F), states/eV/atom: 0.455
V, Å³ per atom: 27.18

Lattice parameters (Å, degrees): 5.142 5.142 5.142 90.00 90.00 90.00
Sites, in units of the cell vectors:
Cr  0.000  0.000  0.000
Hg  0.000  0.500  0.000
Hg  0.000  0.000  0.500
Hg  0.500  0.000  0.000
Cu  0.500  0.500  0.500

=====

# 4
A plane-wave DFT calculation with PBEsol was carried out for a relaxed structure of NiB2Pd.

Properties
Magnetic moment, μB/atom: 0.000
Crystal system: cubic
Electronic total energy, eV per atom: -6.216
Symmetry: Fm-3m
Energy relative to the elements, eV per atom: 0.3214
D(E_F), states/eV/atom: 0.566
V, Å³ per atom: 9.11

Lattice parameters (Å, degrees): 3.721 3.721 3.721 60.00 60.00 60.00
Sites, in units of the cell vectors:
Ni  0.000  0.000  0.000
B  0.250  0.250  0.250
B  0.750  0.750  0.750
Pd  0.500  0.500  0.500

=====

# 5
A plane-wave DFT calculation with PBEsol was carried out for a relaxed structure of TiAlB3.

Properties
Magnetic moment, μB/atom: 0.000
Crystal system: cubic
Electronic total energy, eV per atom: -5.246
Symmetry: Pm-3m
Energy relative to the elements, eV per atom: 1.4466
D(E_F), states/eV/atom: 0.316
V, Å³ per atom: 12.95

Lattice parameters (Å, degrees): 4.016 4.016 4.016 90.00 90.00 90.00
Sites, in units of the cell vectors:
B  0.000  0.500  0.000
B  0.000  0.000  0.500
B  0.500  0.000  0.000
Al  0.500  0.500  0.500
Ti  0.000  0.000  0.000

=====

# 6
A plane-wave DFT calculation with PBEsol was carried out for a relaxed structure of Li2CoCl.

Properties
Magnetic moment, μB/atom: 0.405
Crystal system: tetragonal
Electronic total energy, eV per atom: -3.702
E_form (uncorrected), meV per atom: -282
Symmetry: P4/mmm
D(E_F), states/eV/atom: 0.838
Energy above the lowest structure with this stoichiometry, meV/atom: 0.0
V, Å³ per atom: 13.88

Lattice parameters (Å, degrees): 2.944 2.943 6.405 90.00 90.04 90.00
Sites, in units of the cell vectors:
Cl  0.500  0.500  0.000
Co  0.500  0.500  0.500
Li  0.000  0.000  0.774
Li  0.000  0.000  0.226

=====

# 7
A plane-wave DFT calculation with PBEsol was carried out for a relaxed structure of Mn3FeP4O16.

Properties
Magnetic moment, μB/atom: 0.376
Crystal system: monoclinic
Electronic total energy, eV per atom: -7.972
E_form (uncorrected), meV per atom: -1914
Symmetry: Pm
D(E_F), states/eV/atom: 0.055
V, Å³ per atom: 11.54

Lattice parameters (Å, degrees): 4.814 5.899 9.753 90.00 90.32 90.00
Sites, in units of the cell vectors:
P  0.095  0.000  0.399
P  0.407  0.000  0.904
P  0.589  0.500  0.099
P  0.905  0.500  0.599
Mn  0.077  0.500  0.286
Mn  0.428  0.500  0.784
Mn  0.574  0.000  0.214
Fe  0.951  0.000  0.722
O  0.147  0.000  0.554
O  0.241  0.205  0.328
O  0.241  0.795  0.328
O  0.222  0.500  0.624
O  0.274  0.500  0.123
O  0.255  0.202  0.831
O  0.255  0.798  0.831
O  0.346  0.000  0.058
O  0.640  0.500  0.943
O  0.737  0.705  0.169
O  0.737  0.295  0.169
O  0.718  0.000  0.879
O  0.779  0.000  0.375
O  0.761  0.706  0.669
O  0.761  0.294  0.669
O  0.857  0.500  0.443

=====

# 8
A plane-wave DFT calculation with PBEsol was carried out for a relaxed structure of NaYP2.

Properties
Magnetic moment, μB/atom: 0.000
Crystal system: cubic
Electronic total energy, eV per atom: -5.491
Symmetry: Fm-3m
Energy relative to the elements, eV per atom: -0.5396
D(E_F), states/eV/atom: 1.027
Energy above the lowest structure with this stoichiometry, meV/atom: 0.0
V, Å³ per atom: 19.45

Lattice parameters (Å, degrees): 4.792 4.792 4.792 60.00 60.00 60.00
Sites, in units of the cell vectors:
Y  0.500  0.500  0.500
P  0.250  0.250  0.250
P  0.750  0.750  0.750
Na  0.000  0.000  0.000